(1)
A plane-wave DFT calculation with PBE-GGA was carried out for a relaxed SmTaCo crystal.

Properties
D(E_F) (states/eV/cell): 5.95
Energy (eV/atom): -8.032
Energy of formation (eV/atom): -0.140
Symmetry: P4/nmm

abc: 4.394 4.394 6.390
angles: 90.00 90.00 90.00
Sites, in units of the cell vectors:
Sm: 0.250 0.250 0.123
Sm: 0.750 0.750 0.877
Ta: 0.250 0.750 0.500
Ta: 0.750 0.250 0.500
Co: 0.250 0.250 0.681
Co: 0.750 0.750 0.319

(2)
A plane-wave DFT calculation with PBE-GGA was carried out for a relaxed TbSmCo crystal.

Properties
D(E_F) (states/eV/cell): 5.41
Energy above the most stable polymorph in this dataset (meV/atom): 72
Energy (eV/atom): -5.539
Energy of formation (eV/atom): -0.054
Symmetry: P-1

abc: 3.403 6.827 6.871
angles: 104.42 104.30 90.05
Sites, in units of the cell vectors:
Tb: 0.126 0.063 0.253
Tb: 0.874 0.937 0.747
Sm: 0.127 0.564 0.255
Sm: 0.873 0.436 0.745
Co: 0.500 0.242 0.001
Co: 0.500 0.758 0.999

(3)
A plane-wave DFT calculation with PBE-GGA was carried out for a relaxed Tb2SmCo9 crystal.

Properties
D(E_F) (states/eV/cell): 16.80
Energy (eV/atom): -6.636
Energy of formation (eV/atom): -0.142
Symmetry: R-3m

abc: 8.629 8.629 8.629
angles: 33.73 33.73 33.73
Sites, in units of the cell vectors:
Tb: 0.140 0.140 0.140
Tb: 0.860 0.860 0.860
Sm: 0.000 0.000 0.000
Co: 0.079 0.583 0.583
Co: 0.335 0.335 0.335
Co: 0.417 0.417 0.921
Co: 0.417 0.921 0.417
Co: 0.500 0.500 0.500
Co: 0.583 0.079 0.583
Co: 0.583 0.583 0.079
Co: 0.665 0.665 0.665
Co: 0.921 0.417 0.417

(4)
A plane-wave DFT calculation with PBE-GGA was carried out for a relaxed TbSmCo crystal.

Properties
D(E_F) (states/eV/cell): 2.53
Energy above the most stable polymorph in this dataset (meV/atom): 71
Energy (eV/atom): -5.540
Energy of formation (eV/atom): -0.055
Symmetry: I4mm

abc: 6.866 6.866 6.866
angles: 151.26 151.26 41.09
Sites, in units of the cell vectors:
Tb: 0.000 0.000 0.000
Sm: 0.254 0.254 0.000
Co: 0.624 0.624 0.000

(5)
A plane-wave DFT calculation with PBE-GGA was carried out for a relaxed Tb3Sm3Co2 crystal.

Properties
D(E_F) (states/eV/cell): 18.73
Energy (eV/atom): -5.315
Energy of formation (eV/atom): -0.032
Symmetry: Cmcm

abc: 6.922 6.922 18.399
angles: 90.00 90.00 149.44
Sites, in units of the cell vectors:
Tb: 0.066 0.934 0.586
Tb: 0.066 0.934 0.914
Tb: 0.262 0.738 0.750
Tb: 0.738 0.262 0.250
Tb: 0.934 0.066 0.086
Tb: 0.934 0.066 0.414
Sm: 0.322 0.678 0.568
Sm: 0.322 0.678 0.932
Sm: 0.462 0.538 0.250
Sm: 0.538 0.462 0.750
Sm: 0.678 0.322 0.068
Sm: 0.678 0.322 0.432
Co: 0.309 0.691 0.143
Co: 0.309 0.691 0.357
Co: 0.691 0.309 0.643
Co: 0.691 0.309 0.857

(6)
A plane-wave DFT calculation with PBE-GGA was carried out for a relaxed TbSmCo3 crystal.

Properties
D(E_F) (states/eV/cell): 8.32
Energy (eV/atom): -6.287
Energy of formation (eV/atom): -0.153
Symmetry: Cmcm

abc: 11.863 11.863 3.907
angles: 90.00 90.00 159.89
Sites, in units of the cell vectors:
Tb: 0.205 0.795 0.750
Tb: 0.795 0.205 0.250
Sm: 0.071 0.929 0.250
Sm: 0.929 0.071 0.750
Co: 0.332 0.668 0.750
Co: 0.379 0.621 0.250
Co: 0.476 0.524 0.250
Co: 0.524 0.476 0.750
Co: 0.621 0.379 0.750
Co: 0.668 0.332 0.250